Entry 1:
! Li2TaCd | Alexandria via LeMat-Bulk | GGA-PBE | optimized geometry; values from VASP
&SYSTEM
  ibrav = 0, nat = 4, ntyp = 3
/
ATOMIC_SPECIES
Li 6.94 Li.upf
Ta 180.95 Ta.upf
Cd 112.41 Cd.upf
ATOMIC_POSITIONS crystal
Li 0.488 0.488 0.000
Li 0.012 0.012 0.000
Ta 0.750 0.250 0.500
Cd 0.250 0.750 0.500
CELL_PARAMETERS angstrom
5.997 -0.007 -0.004
3.092 5.138 0.004
-3.712 -4.041 2.420
! Raw total energy: -3.797 eV/atom
! Crystal system: orthorhombic

Entry 2:
! LiTaCd2 | Alexandria via LeMat-Bulk | GGA-PBE | optimized geometry; values from VASP
&SYSTEM
  ibrav = 0, nat = 4, ntyp = 3
/
ATOMIC_SPECIES
Cd 112.41 Cd.upf
Ta 180.95 Ta.upf
Li 6.94 Li.upf
ATOMIC_POSITIONS crystal
Cd 0.000 0.000 0.000
Cd 0.750 0.750 0.750
Ta 0.250 0.250 0.250
Li 0.500 0.500 0.500
CELL_PARAMETERS angstrom
4.716 0.000 0.000
2.358 4.084 0.000
2.358 1.361 3.850
! Raw total energy: -3.378 eV/atom
! Crystal system: cubic
! Energy above the most stable polymorph in this dataset: 1.80 eV/f.u.

Entry 3:
! LiTaCd | Alexandria via LeMat-Bulk | GGA-PBE | optimized geometry; values from VASP
&SYSTEM
  ibrav = 0, nat = 6, ntyp = 3
/
ATOMIC_SPECIES
Ta 180.95 Ta.upf
Cd 112.41 Cd.upf
Li 6.94 Li.upf
ATOMIC_POSITIONS crystal
Ta 0.257 0.567 0.529
Ta 0.756 0.418 0.672
Cd 0.257 0.225 0.858
Cd 0.757 0.035 0.041
Li 0.257 0.876 0.201
Li 0.757 0.742 0.352
CELL_PARAMETERS angstrom
-1.868 -3.884 2.457
-0.668 -2.638 -1.135
8.267 -5.850 0.734
! Raw total energy: -4.731 eV/atom
! Crystal system: monoclinic
! Energy above the most stable polymorph in this dataset: 0.23 eV/f.u.

Entry 4:
! LiTa2Cd | Alexandria via LeMat-Bulk | GGA-PBE | optimized geometry; values from VASP
&SYSTEM
  ibrav = 0, nat = 4, ntyp = 3
/
ATOMIC_SPECIES
Ta 180.95 Ta.upf
Li 6.94 Li.upf
Cd 112.41 Cd.upf
ATOMIC_POSITIONS crystal
Ta 0.250 0.750 0.500
Ta 0.000 0.000 0.000
Li 0.750 0.250 0.500
Cd 0.500 0.500 0.000
CELL_PARAMETERS angstrom
5.113 0.007 0.000
1.786 4.791 0.000
-3.450 -2.399 2.914
! Raw total energy: -6.131 eV/atom
! Crystal system: tetragonal

Entry 5:
! LiTaCd | Alexandria via LeMat-Bulk | GGA-PBE | optimized geometry; values from VASP
&SYSTEM
  ibrav = 0, nat = 6, ntyp = 3
/
ATOMIC_SPECIES
Ta 180.95 Ta.upf
Li 6.94 Li.upf
Cd 112.41 Cd.upf
ATOMIC_POSITIONS crystal
Ta 0.868 0.500 0.217
Ta 0.559 0.000 0.083
Li 0.547 0.500 0.585
Li 0.182 0.500 0.828
Cd 0.241 0.000 0.356
Cd 0.851 0.000 0.709
CELL_PARAMETERS angstrom
-4.736 -5.770 1.396
1.461 -1.681 -1.994
3.911 -0.453 3.247
! Raw total energy: -4.666 eV/atom
! Crystal system: monoclinic
! Energy above the most stable polymorph in this dataset: 0.42 eV/f.u.

Entry 6:
! LiTa2Cd | Alexandria via LeMat-Bulk | GGA-PBE | optimized geometry; values from VASP
&SYSTEM
  ibrav = 0, nat = 4, ntyp = 3
/
ATOMIC_SPECIES
Li 6.94 Li.upf
Cd 112.41 Cd.upf
Ta 180.95 Ta.upf
ATOMIC_POSITIONS crystal
Li 0.500 0.500 0.742
Cd 0.000 0.000 0.508
Ta 0.000 0.000 0.006
Ta 0.500 0.500 0.245
CELL_PARAMETERS angstrom
2.806 0.000 0.000
0.000 2.806 0.000
0.000 0.000 9.451
! Raw total energy: -6.458 eV/atom
! Crystal system: tetragonal

Entry 7:
! LiTaCd | Alexandria via LeMat-Bulk | GGA-PBE | optimized geometry; values from VASP
&SYSTEM
  ibrav = 0, nat = 6, ntyp = 3
/
ATOMIC_SPECIES
Ta 180.95 Ta.upf
Cd 112.41 Cd.upf
Li 6.94 Li.upf
ATOMIC_POSITIONS crystal
Ta 0.846 0.628 0.578
Ta 0.128 0.136 0.634
Cd 0.181 0.627 0.248
Cd 0.518 0.636 0.915
Li 0.797 0.137 0.970
Li 0.463 0.131 0.308
CELL_PARAMETERS angstrom
2.924 0.005 0.001
-1.472 5.085 0.039
-1.470 2.830 7.437
! Raw total energy: -4.748 eV/atom
! Crystal system: monoclinic
! Energy above the most stable polymorph in this dataset: 0.18 eV/f.u.

Entry 8:
! Li2TaCd | Alexandria via LeMat-Bulk | GGA-PBE | optimized geometry; values from VASP
&SYSTEM
  ibrav = 0, nat = 4, ntyp = 3
/
ATOMIC_SPECIES
Li 6.94 Li.upf
Cd 112.41 Cd.upf
Ta 180.95 Ta.upf
ATOMIC_POSITIONS crystal
Li 0.500 0.500 0.000
Li 0.000 0.000 0.000
Cd 0.000 0.500 0.500
Ta 0.500 0.000 0.500
CELL_PARAMETERS angstrom
5.539 -0.002 0.000
-2.385 4.999 0.000
0.000 0.000 2.667
! Raw total energy: -3.759 eV/atom
! Crystal system: orthorhombic

no.,ΔE_f (eV per atom)
1,0.352
2,0.521
3,0.163
4,0.502
5,0.228
6,0.175
7,0.146
8,0.390